# 1
The following is a DFT calculation (PBE) of a relaxed Cs2TlCuBr6 crystal.

Properties
DFT total energy = -27.88 eV for the cell shown

Structure (CIF):
```
data_Cs2TlCuBr6
_chemical_formula_sum 'Cs2 Tl1 Cu1 Br6'
_cell_length_a 7.809
_cell_length_b 7.809
_cell_length_c 7.809
_cell_angle_alpha 120.00
_cell_angle_beta 120.00
_cell_angle_gamma 90.01
_space_group_name_H-M_alt 'P 1'
_space_group_IT_number 1
_space_group_name_Hall 'P 1'
loop_
_atom_site_label
_atom_site_type_symbol
_atom_site_fract_x
_atom_site_fract_y
_atom_site_fract_z
_atom_site_occupancy
Br1 Br 0.263 0.263 0.000 1
Cs1 Cs 0.750 0.250 0.500 1
Br2 Br 0.263 0.263 0.526 1
Tl1 Tl 0.000 0.000 0.000 1
Br3 Br 0.737 0.737 0.000 1
Br4 Br 0.737 0.737 0.474 1
Cu1 Cu 0.500 0.500 0.000 1
Br5 Br 0.737 0.263 0.000 1
Br6 Br 0.263 0.737 0.000 1
Cs2 Cs 0.250 0.750 0.500 1
```

# 2
The following is a DFT calculation (PBE) of a relaxed DyNiBi crystal.

Properties
DFT total energy = -47.36 eV for the cell shown
magnetic moment = 0.0 μB per cell

Structure (CIF):
```
data_DyNiBi
_chemical_formula_sum 'Dy3 Ni3 Bi3'
_cell_length_a 7.377
_cell_length_b 7.377
_cell_length_c 4.139
_cell_angle_alpha 90.00
_cell_angle_beta 90.00
_cell_angle_gamma 120.00
_space_group_name_H-M_alt 'P 1'
_space_group_IT_number 1
_space_group_name_Hall 'P 1'
loop_
_atom_site_label
_atom_site_type_symbol
_atom_site_fract_x
_atom_site_fract_y
_atom_site_fract_z
_atom_site_occupancy
Bi1 Bi 0.724 0.724 0.000 1
Ni1 Ni 0.333 0.667 0.000 1
Ni2 Ni 0.667 0.333 0.000 1
Bi2 Bi 0.000 0.276 0.000 1
Dy1 Dy 0.389 0.389 0.500 1
Dy2 Dy 0.611 0.000 0.500 1
Bi3 Bi 0.276 0.000 0.000 1
Dy3 Dy 0.000 0.611 0.500 1
Ni3 Ni 0.000 0.000 0.500 1
```

# 3
The following is a DFT calculation (PBE) of a relaxed PuTlAgSeS2 crystal.

Properties
DFT total energy = -72.66 eV for the cell shown
magnetic moment = 8.0 μB per cell

Structure (CIF):
```
data_PuTlAgSeS2
_chemical_formula_sum 'Pu2 Tl2 Ag2 Se2 S4'
_cell_length_a 8.028
_cell_length_b 4.082
_cell_length_c 10.118
_cell_angle_alpha 90.00
_cell_angle_beta 107.05
_cell_angle_gamma 90.00
_space_group_name_H-M_alt 'P 1'
_space_group_IT_number 1
_space_group_name_Hall 'P 1'
loop_
_atom_site_label
_atom_site_type_symbol
_atom_site_fract_x
_atom_site_fract_y
_atom_site_fract_z
_atom_site_occupancy
Se1 Se 0.728 0.250 0.935 1
Tl1 Tl 0.749 0.750 0.210 1
S1 S 0.545 0.250 0.369 1
Pu1 Pu 0.686 0.250 0.645 1
Ag1 Ag 0.933 0.750 0.897 1
S2 S 0.095 0.250 0.358 1
Tl2 Tl 0.251 0.250 0.790 1
Pu2 Pu 0.314 0.750 0.355 1
S3 S 0.905 0.750 0.642 1
Se2 Se 0.272 0.750 0.065 1
Ag2 Ag 0.067 0.250 0.103 1
S4 S 0.455 0.750 0.631 1
```

# 4
The following is a DFT calculation (PBE) of a relaxed Tb3Hg3PdAu2 crystal.

Properties
DFT total energy = -32.58 eV for the cell shown
E_form = -0.6764 eV per atom
magnetic moment = 0.0 μB per cell

Structure (CIF):
```
data_Tb3Hg3PdAu2
_chemical_formula_sum 'Tb3 Hg3 Pd1 Au2'
_cell_length_a 7.919
_cell_length_b 7.919
_cell_length_c 3.764
_cell_angle_alpha 90.00
_cell_angle_beta 90.00
_cell_angle_gamma 120.00
_space_group_name_H-M_alt 'P 1'
_space_group_IT_number 1
_space_group_name_Hall 'P 1'
loop_
_atom_site_label
_atom_site_type_symbol
_atom_site_fract_x
_atom_site_fract_y
_atom_site_fract_z
_atom_site_occupancy
Hg1 Hg 0.733 0.733 0.500 1
Au1 Au 0.333 0.667 0.500 1
Au2 Au 0.667 0.333 0.500 1
Tb1 Tb 0.607 0.000 0.000 1
Hg2 Hg 0.000 0.267 0.500 1
Hg3 Hg 0.267 0.000 0.500 1
Tb2 Tb 0.393 0.393 0.000 1
Tb3 Tb 0.000 0.607 0.000 1
Pd1 Pd 0.000 0.000 0.000 1
```

# 5
The following is a DFT calculation (PBE) of a relaxed LuSnPbSe3 crystal.

Properties
DFT total energy = -56.14 eV for the cell shown
magnetic moment = 0.0 μB per cell

Structure (CIF):
```
data_LuSnPbSe3
_chemical_formula_sum 'Lu2 Sn2 Pb2 Se6'
_cell_length_a 7.749
_cell_length_b 7.749
_cell_length_c 11.632
_cell_angle_alpha 90.00
_cell_angle_beta 90.00
_cell_angle_gamma 150.65
_space_group_name_H-M_alt 'P 1'
_space_group_IT_number 1
_space_group_name_Hall 'P 1'
loop_
_atom_site_label
_atom_site_type_symbol
_atom_site_fract_x
_atom_site_fract_y
_atom_site_fract_z
_atom_site_occupancy
Sn1 Sn 0.357 0.643 0.250 1
Pb1 Pb 0.669 0.331 0.250 1
Se1 Se 0.631 0.369 0.502 1
Se2 Se 0.001 0.999 0.250 1
Lu1 Lu 0.000 0.000 0.000 1
Se3 Se 0.999 0.001 0.750 1
Pb2 Pb 0.331 0.669 0.750 1
Sn2 Sn 0.643 0.357 0.750 1
Se4 Se 0.631 0.369 0.998 1
Se5 Se 0.369 0.631 0.002 1
Lu2 Lu 0.000 0.000 0.500 1
Se6 Se 0.369 0.631 0.498 1
```

# 6
The following is a DFT calculation (PBE) of a relaxed TbNb crystal.

Properties
DFT total energy = -12.16 eV for the cell shown
excess energy over the best structure of this formula in the dataset = 796 meV per atom
E_form = 1.2836 eV per atom
magnetic moment = 0.0 μB per cell

Structure (CIF):
```
data_TbNb
_chemical_formula_sum 'Tb1 Nb1'
_cell_length_a 4.164
_cell_length_b 4.164
_cell_length_c 4.164
_cell_angle_alpha 60.00
_cell_angle_beta 60.00
_cell_angle_gamma 60.00
_space_group_name_H-M_alt 'P 1'
_space_group_IT_number 1
_space_group_name_Hall 'P 1'
loop_
_atom_site_label
_atom_site_type_symbol
_atom_site_fract_x
_atom_site_fract_y
_atom_site_fract_z
_atom_site_occupancy
Tb1 Tb 0.500 0.500 0.500 1
Nb1 Nb 0.000 0.000 0.000 1
```

# 7
The following is a DFT calculation (PBE) of a relaxed Gd3Cd3AgPd2 crystal.

Properties
DFT total energy = -35.22 eV for the cell shown
E_form = -0.5994 eV per atom
magnetic moment = 0.0 μB per cell

Structure (CIF):
```
data_Gd3Cd3AgPd2
_chemical_formula_sum 'Gd3 Cd3 Ag1 Pd2'
_cell_length_a 7.725
_cell_length_b 7.725
_cell_length_c 3.930
_cell_angle_alpha 90.00
_cell_angle_beta 90.00
_cell_angle_gamma 120.00
_space_group_name_H-M_alt 'P 1'
_space_group_IT_number 1
_space_group_name_Hall 'P 1'
loop_
_atom_site_label
_atom_site_type_symbol
_atom_site_fract_x
_atom_site_fract_y
_atom_site_fract_z
_atom_site_occupancy
Cd1 Cd 0.000 0.261 0.500 1
Gd1 Gd 0.000 0.587 0.000 1
Cd2 Cd 0.261 0.000 0.500 1
Gd2 Gd 0.413 0.413 0.000 1
Ag1 Ag 0.000 0.000 0.000 1
Cd3 Cd 0.739 0.739 0.500 1
Pd1 Pd 0.333 0.667 0.500 1
Gd3 Gd 0.587 0.000 0.000 1
Pd2 Pd 0.667 0.333 0.500 1
```

# 8
The following is a DFT calculation (PBE) of a relaxed BeNbCu crystal.

Properties
DFT total energy = -16.56 eV for the cell shown
excess energy over the best structure of this formula in the dataset = 0 meV per atom
magnetic moment = 0.0 μB per cell

Structure (CIF):
```
data_BeNbCu
_chemical_formula_sum 'Be1 Nb1 Cu1'
_cell_length_a 3.947
_cell_length_b 3.947
_cell_length_c 3.947
_cell_angle_alpha 60.00
_cell_angle_beta 60.00
_cell_angle_gamma 60.00
_space_group_name_H-M_alt 'P 1'
_space_group_IT_number 1
_space_group_name_Hall 'P 1'
loop_
_atom_site_label
_atom_site_type_symbol
_atom_site_fract_x
_atom_site_fract_y
_atom_site_fract_z
_atom_site_occupancy
Be1 Be 0.250 0.250 0.250 1
Cu1 Cu 0.000 0.000 0.000 1
Nb1 Nb 0.750 0.750 0.750 1
```